Record 1
Computed, not measured: a relaxed structure of Cs2TmGaO4 at the PBE level of DFT.

The structure in CIF format:
```
data_Cs2TmGaO4
_cell_length_a 5.4957
_cell_length_b 7.0210
_cell_length_c 11.9435
_cell_angle_alpha 84.83
_cell_angle_beta 76.70
_cell_angle_gamma 66.96
_symmetry_space_group_name_H-M 'P 1'
_symmetry_Int_Tables_number 1
_symmetry_space_group_name_Hall 'P 1'
loop_
_atom_site_label
_atom_site_fract_x
_atom_site_fract_y
_atom_site_fract_z
Cs1 0.1782 0.0000 0.6436
Cs2 0.8218 0.0000 0.3564
Cs3 0.5718 0.5000 0.8564
Cs4 0.9282 0.5000 0.1436
Tm1 0.7500 0.5000 0.5000
Tm2 0.0000 0.0000 0.0000
Ga1 0.2500 0.5000 0.5000
Ga2 0.5000 0.0000 0.0000
O1 0.3193 0.8311 0.0833
O2 0.2337 0.1689 0.9167
O3 0.8496 0.8311 0.9167
O4 0.5974 0.1689 0.0833
O5 0.4307 0.6689 0.4167
O6 0.5163 0.3311 0.5833
O7 0.9004 0.6689 0.5833
O8 0.1526 0.3311 0.4167
```

Properties
M_tot: 0.145 μB per formula unit
total energy: -5.6463 eV per atom
symmetry: Fddd
crystal system: orthorhombic



Record 2
Computed, not measured: a relaxed structure of TlTe3 at the PBE level of DFT.

The structure in CIF format:
```
data_TlTe3
_cell_length_a 4.5066
_cell_length_b 4.5006
_cell_length_c 6.5318
_cell_angle_alpha 90.00
_cell_angle_beta 90.00
_cell_angle_gamma 90.00
_symmetry_space_group_name_H-M 'P 1'
_symmetry_Int_Tables_number 1
_symmetry_space_group_name_Hall 'P 1'
loop_
_atom_site_label
_atom_site_fract_x
_atom_site_fract_y
_atom_site_fract_z
Tl1 0.0000 0.8343 0.0000
Te1 0.5000 0.3339 0.0000
Te2 0.5000 0.3324 0.5000
Te3 0.0000 0.8326 0.5000
```

Properties
M_tot: 0.000 μB per formula unit
total energy: -3.0143 eV per atom
symmetry: Pmm2
crystal system: orthorhombic



Record 3
Computed, not measured: a relaxed structure of HgPb2S3 at the PBE level of DFT.

The structure in CIF format:
```
data_HgPb2S3
_cell_length_a 6.1580
_cell_length_b 8.4678
_cell_length_c 7.3690
_cell_angle_alpha 111.82
_cell_angle_beta 114.70
_cell_angle_gamma 90.00
_symmetry_space_group_name_H-M 'P 1'
_symmetry_Int_Tables_number 1
_symmetry_space_group_name_Hall 'P 1'
loop_
_atom_site_label
_atom_site_fract_x
_atom_site_fract_y
_atom_site_fract_z
Hg1 0.0190 0.7500 0.0000
Hg2 0.9810 0.2500 0.0000
Pb1 0.6458 0.5800 0.3302
Pb2 0.6843 0.0800 0.3302
Pb3 0.3157 0.9200 0.6698
Pb4 0.3542 0.4200 0.6698
S1 0.5227 0.2500 0.0000
S2 0.4773 0.7500 0.0000
S3 0.1374 0.0378 0.3121
S4 0.8254 0.4622 0.6879
S5 0.1746 0.5378 0.3121
S6 0.8626 0.9622 0.6879
```

Properties
M_tot: 0.000 μB per formula unit
symmetry: C2/c
relative energy among the computed polymorphs: 0.0 meV per atom
crystal system: monoclinic



Record 4
Computed, not measured: a relaxed structure of Tm3ZnTe2 at the PBE level of DFT.

The structure in CIF format:
```
data_Tm3ZnTe2
_cell_length_a 4.0741
_cell_length_b 6.0201
_cell_length_c 7.5544
_cell_angle_alpha 113.48
_cell_angle_beta 105.64
_cell_angle_gamma 90.00
_symmetry_space_group_name_H-M 'P 1'
_symmetry_Int_Tables_number 1
_symmetry_space_group_name_Hall 'P 1'
loop_
_atom_site_label
_atom_site_fract_x
_atom_site_fract_y
_atom_site_fract_z
Tm1 0.3486 0.3486 0.6972
Tm2 0.0000 0.0000 0.0000
Tm3 0.6514 0.6514 0.3028
Zn1 0.0000 0.5000 0.0000
Te1 0.6741 0.1741 0.3483
Te2 0.3259 0.8259 0.6517
```

Properties
M_tot: 0.000 μB per formula unit
symmetry: Immm
relative energy among the computed polymorphs: 0.0 meV per atom
crystal system: orthorhombic



Record 5
Computed, not measured: a relaxed structure of Dy4Y9Al11 at the PBE level of DFT.

The structure in CIF format:
```
data_Dy4Y9Al11
_cell_length_a 3.3732
_cell_length_b 13.5623
_cell_length_c 13.5623
_cell_angle_alpha 110.75
_cell_angle_beta 90.00
_cell_angle_gamma 90.00
_symmetry_space_group_name_H-M 'P 1'
_symmetry_Int_Tables_number 1
_symmetry_space_group_name_Hall 'P 1'
loop_
_atom_site_label
_atom_site_fract_x
_atom_site_fract_y
_atom_site_fract_z
Dy1 0.5000 0.5926 0.7584
Dy2 0.5000 0.4074 0.2416
Dy3 0.5000 0.7584 0.5926
Dy4 0.5000 0.2416 0.4074
Y1 0.5000 0.6133 0.1622
Y2 0.5000 0.3867 0.8378
Y3 0.5000 0.1622 0.6133
Y4 0.5000 0.8378 0.3867
Y5 0.5000 0.7962 0.9873
Y6 0.5000 0.2038 0.0127
Y7 0.5000 0.9873 0.7962
Y8 0.5000 0.0127 0.2038
Y9 0.5000 0.5000 0.5000
Al1 0.0000 0.5872 0.9587
Al2 0.0000 0.4128 0.0413
Al3 0.0000 0.9587 0.5872
Al4 0.0000 0.0413 0.4128
Al5 0.0000 0.6212 0.3787
Al6 0.0000 0.3787 0.6212
Al7 0.0000 0.8129 0.1871
Al8 0.0000 0.1871 0.8129
Al9 0.0000 0.0000 0.0000
Al10 0.0000 0.7980 0.7980
Al11 0.0000 0.2020 0.2020
```

Properties
M_tot: 0.001 μB per formula unit
symmetry: Cmmm
formation energy: -0.339 eV/atom
crystal system: orthorhombic



Record 6
Computed, not measured: a relaxed structure of KGe2BSe6 at the PBE level of DFT.

The structure in CIF format:
```
data_KGe2BSe6
_cell_length_a 7.2694
_cell_length_b 9.7517
_cell_length_c 9.7517
_cell_angle_alpha 91.76
_cell_angle_beta 70.70
_cell_angle_gamma 70.70
_symmetry_space_group_name_H-M 'P 1'
_symmetry_Int_Tables_number 1
_symmetry_space_group_name_Hall 'P 1'
loop_
_atom_site_label
_atom_site_fract_x
_atom_site_fract_y
_atom_site_fract_z
K1 0.2500 0.8938 0.1062
K2 0.7500 0.1062 0.8938
Ge1 0.3775 0.7791 0.6067
Ge2 0.1225 0.3933 0.2209
Ge3 0.6225 0.2209 0.3933
Ge4 0.8775 0.6067 0.7791
B1 0.2500 0.2289 0.7711
B2 0.7500 0.7711 0.2289
Se1 0.2552 0.0096 0.7788
Se2 0.2448 0.2212 0.9904
Se3 0.7448 0.9904 0.2212
Se4 0.7552 0.7788 0.0096
Se5 0.4856 0.7362 0.3416
Se6 0.0144 0.6584 0.2638
Se7 0.5144 0.2638 0.6584
Se8 0.9856 0.3416 0.7362
Se9 0.0528 0.7409 0.6101
Se10 0.4472 0.3899 0.2591
Se11 0.9472 0.2591 0.3899
Se12 0.5528 0.6101 0.7409
```

Properties
M_tot: 0.000 μB per formula unit
total energy: -4.0669 eV per atom
symmetry: C2/c
crystal system: monoclinic



Record 7
Computed, not measured: a relaxed structure of LiAsPdRu at the PBE level of DFT.

The structure in CIF format:
```
data_LiAsPdRu
_cell_length_a 4.2313
_cell_length_b 4.2313
_cell_length_c 4.2313
_cell_angle_alpha 60.00
_cell_angle_beta 60.00
_cell_angle_gamma 60.00
_symmetry_space_group_name_H-M 'P 1'
_symmetry_Int_Tables_number 1
_symmetry_space_group_name_Hall 'P 1'
loop_
_atom_site_label
_atom_site_fract_x
_atom_site_fract_y
_atom_site_fract_z
Ru1 0.0000 0.0000 0.0000
As1 0.2500 0.2500 0.2500
Pd1 0.5000 0.5000 0.5000
Li1 0.7500 0.7500 0.7500
```

Properties
M_tot: 0.000 μB per formula unit
symmetry: F-43m
formation energy: -0.324 eV/atom
crystal system: cubic



Record 8
Computed, not measured: a relaxed structure of PmNd2Th3Te6 at the PBE level of DFT.

The structure in CIF format:
```
data_PmNd2Th3Te6
_cell_length_a 4.4242
_cell_length_b 9.0665
_cell_length_c 10.2044
_cell_angle_alpha 107.52
_cell_angle_beta 102.52
_cell_angle_gamma 90.00
_symmetry_space_group_name_H-M 'P 1'
_symmetry_Int_Tables_number 1
_symmetry_space_group_name_Hall 'P 1'
loop_
_atom_site_label
_atom_site_fract_x
_atom_site_fract_y
_atom_site_fract_z
Pm1 0.5000 0.0000 0.0000
Nd1 0.8334 0.6673 0.6667
Nd2 0.1666 0.3327 0.3333
Th1 0.5000 0.5000 0.0000
Th2 0.8327 0.1665 0.6654
Th3 0.1673 0.8335 0.3346
Te1 0.3347 0.9166 0.6694
Te2 0.6672 0.5818 0.3344
Te3 0.6653 0.0834 0.3306
Te4 0.0001 0.2472 0.0003
Te5 0.9999 0.7528 0.9997
Te6 0.3328 0.4182 0.6656
```

Properties
M_tot: 0.000 μB per formula unit
total energy: -5.8163 eV per atom
symmetry: C2/m
crystal system: monoclinic



M_tot of number 6 (KGe2BSe6)?
0.000 μB per formula unit